1.
The following is a GGA-PBE calculation of crystalline LiRe2W at its relaxed geometry, from Alexandria via LeMat-Bulk.

Computed properties:
offset from the most stable computed form: 317.0 meV per atom

Cell: 2.6513 2.6513 8.7195 Å, 90.00 90.00 90.00°
Last column: nearest neighbours and their distance in Å.
Positions (direct):
Re 0.0000 0.0000 0.4992  4 Re 2.65, 4 W 2.87, 4 Li 2.88
Re 0.0000 0.0000 0.0008  4 Re 2.65, 4 W 2.87, 4 Li 2.88
W 0.5000 0.5000 0.2500  4 W 2.65, 8 Re 2.87
Li 0.5000 0.5000 0.7500  4 Li 2.65, 8 Re 2.88

2.
The following is a GGA-PBE calculation of crystalline LiReW2 at its relaxed geometry, from Alexandria via LeMat-Bulk.

Computed properties:
offset from the most stable computed form: 158.1 meV per atom

Cell: 3.2082 3.2082 5.6885 Å, 90.00 90.00 90.00°
Last column: nearest neighbours and their distance in Å.
Positions (direct):
Li 0.0000 0.0000 0.5052  4 Re 2.60, 6 W 2.63-2.90
Re 0.5000 0.5000 0.7288  4 Li 2.60, 5 W 2.60-2.73
W 0.5000 0.5000 0.2715  1 Re 2.60, 4 Li 2.63, 4 W 2.76
W 0.0000 0.0000 0.9946  4 Re 2.73, 4 W 2.76, 2 Li 2.78-2.90

3.
The following is a GGA-PBE calculation of crystalline LiRe2W at its relaxed geometry, from Alexandria via LeMat-Bulk.

Computed properties:
offset from the most stable computed form: 64.8 meV per atom

Cell: 4.3430 4.3430 4.3430 Å, 60.00 60.00 60.00°
Last column: nearest neighbours and their distance in Å.
Positions (direct):
Re 0.7500 0.7500 0.7500  4 Li 2.66, 4 W 2.66
Re 0.2500 0.2500 0.2500  4 W 2.66, 4 Li 2.66
Li 0.0000 0.0000 0.0000  8 Re 2.66
W 0.5000 0.5000 0.5000  8 Re 2.66

4.
The following is a GGA-PBE calculation of crystalline LiRe2W at its relaxed geometry, from Alexandria via LeMat-Bulk.

Computed properties:
offset from the most stable computed form: 39.2 meV per atom

Cell: 2.6792 2.6792 9.0410 Å, 90.00 90.00 109.89°
Last column: nearest neighbours and their distance in Å.
Positions (direct):
Re 0.0000 0.0000 0.4958  4 Re 2.68, 2 W 2.70, 2 Li 2.77
Re 0.0000 0.0000 0.0042  4 Re 2.68, 2 W 2.70, 2 Li 2.77
W 0.5000 0.5000 0.2500  4 W 2.68, 4 Re 2.70
Li 0.5000 0.5000 0.7500  4 Li 2.68, 4 Re 2.77

5.
The following is a GGA-PBE calculation of crystalline LiRe2W at its relaxed geometry, from Alexandria via LeMat-Bulk.

Computed properties:
offset from the most stable computed form: 30.2 meV per atom

Cell: 4.3503 2.6367 5.1999 Å, 80.27 90.00 90.00°
Last column: nearest neighbours and their distance in Å.
Positions (direct):
Re 0.0000 0.0085 0.9934  2 W 2.62-2.80, 4 Re 2.64-2.66, 2 Li 2.65
Re 0.5000 0.2398 0.2447  4 Re 2.64-2.66, 2 Li 2.70-2.72, 2 W 2.71
Li 0.5000 0.7635 0.7519  2 Li 2.64, 4 Re 2.65-2.72, 2 W 2.67
W 0.0000 0.4881 0.5100  4 Re 2.62-2.80, 2 W 2.64, 2 Li 2.67

6.
The following is a GGA-PBE calculation of crystalline LiReW3 at its relaxed geometry, from Alexandria via LeMat-Bulk.

Computed properties:
offset from the most stable computed form: 0.0 meV per atom

Cell: 4.2061 4.2061 4.2061 Å, 90.00 90.00 90.00°
Last column: nearest neighbours and their distance in Å.
Positions (direct):
W 0.0000 0.0000 0.5000  2 Li 2.10
W 0.0000 0.5000 0.0000  2 Li 2.10
W 0.5000 0.0000 0.0000  2 Li 2.10
Re 0.5000 0.5000 0.5000  12 W 2.97
Li 0.0000 0.0000 0.0000  6 W 2.10

7.
The following is a GGA-PBE calculation of crystalline LiReW2 at its relaxed geometry, from Alexandria via LeMat-Bulk.

Computed properties:
offset from the most stable computed form: 274.4 meV per atom

Cell: 2.6348 2.6348 9.0880 Å, 90.00 90.00 90.00°
Last column: nearest neighbours and their distance in Å.
Positions (direct):
W 0.5000 0.5000 0.2484  4 W 2.63
W 0.0000 0.0000 0.9959  4 W 2.63, 4 Re 2.92
Li 0.0000 0.0000 0.5072  4 Li 2.63, 4 Re 2.88
Re 0.5000 0.5000 0.7485  4 Re 2.63, 4 Li 2.88, 4 W 2.92

8.
The following is a GGA-PBE calculation of crystalline LiRe2W at its relaxed geometry, from Alexandria via LeMat-Bulk.

Computed properties:
offset from the most stable computed form: 202.7 meV per atom

Cell: 3.8609 3.8744 3.8744 Å, 90.00 90.00 90.00°
Last column: nearest neighbours and their distance in Å.
Positions (direct):
Re 0.0000 0.0000 0.0000  4 W 2.73, 4 Li 2.73, 4 Re 2.74
Re 0.0000 0.5000 0.5000  4 Li 2.73, 4 W 2.73, 4 Re 2.74
Li 0.5000 0.0000 0.5000  8 Re 2.73, 4 W 2.74
W 0.5000 0.5000 0.0000  8 Re 2.73, 4 Li 2.74

9.
The following is a GGA-PBE calculation of crystalline LiRe2W at its relaxed geometry, from Alexandria via LeMat-Bulk.

Computed properties:
offset from the most stable computed form: 77.9 meV per atom

Cell: 5.0970 5.0970 5.0970 Å, 144.90 128.68 63.70°
Last column: nearest neighbours and their distance in Å.
Positions (direct):
Re 0.9920 0.9920 0.0000  2 W 2.60, 4 Re 2.69, 2 Li 2.71
Re 0.5080 0.5080 0.0000  2 W 2.60, 4 Re 2.69, 2 Li 2.71
Li 0.2500 0.7500 0.5000  4 W 2.69, 4 Re 2.71
W 0.7500 0.2500 0.5000  4 Re 2.60, 4 Li 2.69

10.
The following is a GGA-PBE calculation of crystalline LiReW2 at its relaxed geometry, from Alexandria via LeMat-Bulk.

Computed properties:
offset from the most stable computed form: 104.9 meV per atom

Cell: 2.7013 2.7013 9.2569 Å, 90.00 90.00 110.73°
Last column: nearest neighbours and their distance in Å.
Positions (direct):
Re 0.5000 0.5000 0.7500  4 Re 2.70, 4 W 2.71
W 0.0000 0.0000 0.9916  4 W 2.70, 2 Re 2.71, 2 Li 2.84
W 0.0000 0.0000 0.5084  4 W 2.70, 2 Re 2.71, 2 Li 2.84
Li 0.5000 0.5000 0.2500  4 Li 2.70, 4 W 2.84

11.
The following is a GGA-PBE calculation of crystalline LiReW2 at its relaxed geometry, from Alexandria via LeMat-Bulk.

Computed properties:
offset from the most stable computed form: 177.9 meV per atom

Cell: 3.3515 4.2332 4.1820 Å, 90.00 90.00 90.00°
Last column: nearest neighbours and their distance in Å.
Positions (direct):
W 0.0000 0.0000 0.0000  4 Li 2.68, 4 W 2.70, 4 Re 2.98
W 0.5000 0.5000 0.0000  4 Re 2.68, 4 W 2.70, 4 Li 2.98
Re 0.0000 0.5000 0.5000  8 W 2.68-2.98, 4 Li 2.70
Li 0.5000 0.0000 0.5000  8 W 2.68-2.98, 4 Re 2.70

12.
The following is a GGA-PBE calculation of crystalline LiReW2 at its relaxed geometry, from Alexandria via LeMat-Bulk.

Computed properties:
offset from the most stable computed form: 304.1 meV per atom

Cell: 2.7477 2.7477 8.5468 Å, 90.00 90.00 90.00°
Last column: nearest neighbours and their distance in Å.
Positions (direct):
Re 0.5000 0.5000 0.7500  4 Re 2.75, 8 W 2.77
W 0.0000 0.0000 0.9817  4 W 2.75, 4 Re 2.77, 4 Li 3.01
W 0.0000 0.0000 0.5183  4 W 2.75, 4 Re 2.77, 4 Li 3.01
Li 0.5000 0.5000 0.2500  4 Li 2.75, 8 W 3.01